Compound: HfCrB2
Source: Alexandria
Functional: PBEsol
Structure: optimized geometry

Output
Symmetry   I4_1/amd
Formation energy   0.170 eV per atom
Total magnetization   0.00 Bohr magnetons per cell
N(E_F)   0.4789 states/eV/atom

```
HfCrB2
1.0
-2.229 -1.118 -2.836
-2.326 -1.647 2.477
-1.319 7.240 0.697
Cr B Hf
2 4 2
direct
0.500 0.500 0.000 Cr
0.750 0.250 0.500 Cr
0.625 0.375 0.750 B
0.125 0.375 0.750 B
0.625 0.875 0.250 B
0.625 0.375 0.250 B
0.000 0.000 0.000 Hf
0.250 0.750 0.500 Hf
```